(1)
{
  "formula": "Pr8BiSb2",
  "functional": "PBE-GGA",
  "state": "optimized geometry",
  "lattice_angstrom": [[4.8387, 0.0000, 0.0000], [0.0000, 8.0402, 1.0875], [-2.4194, -2.0052, 9.4221]],
  "species": ["Pr", "Pr", "Pr", "Pr", "Pr", "Pr", "Pr", "Pr", "Sb", "Sb", "Bi"],
  "frac_coords": [[0.7823, 0.6386, 0.5646], [0.3330, 0.9660, 0.6660], [0.2177, 0.3614, 0.4354], [0.3999, 0.4842, 0.7997], [0.0026, 0.7437, 0.0052], [0.6670, 0.0340, 0.3340], [0.6001, 0.5158, 0.2003], [0.9974, 0.2563, 0.9948], [0.8244, 0.2340, 0.6488], [0.1756, 0.7660, 0.3512], [0.5000, 0.0000, 0.0000]],
  "vol_a3_per_cell": 377.1,
  "formation_energy_uncorrected_ev_per_atom": -0.517,
  "spacegroup": "C2/m, No. 12"
}

=====

(2)
{
  "formula": "PrGe2Pd2Pt",
  "functional": "PBE-GGA",
  "state": "optimized geometry",
  "lattice_angstrom": [[4.0357, 0.0000, 0.0000], [0.0000, 4.0357, 0.0000], [-2.0178, -2.0178, 9.3507]],
  "species": ["Pd", "Pd", "Pr", "Pt", "Ge", "Ge"],
  "frac_coords": [[0.7500, 0.2500, 0.5000], [0.2500, 0.7500, 0.5000], [0.5000, 0.5000, 0.0000], [0.0000, 0.0000, 0.0000], [0.3302, 0.3302, 0.6604], [0.6698, 0.6698, 0.3396]],
  "vol_a3_per_cell": 152.3,
  "dft_energy_ev_per_cell": -31.90,
  "spacegroup": "I4/mmm, No. 139"
}

=====

(3)
{
  "formula": "HgSeOF2",
  "functional": "PBE-GGA",
  "state": "optimized geometry",
  "lattice_angstrom": [[-1.0530, 2.8892, -3.3244], [-3.8318, -2.2863, -0.7732], [-2.0358, 2.4684, 2.7901]],
  "species": ["Se", "O", "F", "F", "Hg"],
  "frac_coords": [[0.5000, 0.5000, 0.5000], [0.0000, 0.0000, 0.5000], [0.0000, 0.5000, 0.0000], [0.5000, 0.0000, 0.0000], [0.0000, 0.0000, 0.0000]],
  "vol_a3_per_cell": 87.1,
  "formation_energy_uncorrected_ev_per_atom": -0.098,
  "spacegroup": "P4/mmm, No. 123"
}

=====

(4)
{
  "formula": "HfIn3Mo",
  "functional": "PBE-GGA",
  "state": "optimized geometry",
  "lattice_angstrom": [[5.1737, 0.0000, 0.0000], [0.0000, 5.1737, 0.0000], [0.0000, 0.0000, 5.1737]],
  "species": ["In", "In", "In", "Mo", "Hf"],
  "frac_coords": [[0.5000, 0.0000, 0.0000], [0.0000, 0.5000, 0.0000], [0.0000, 0.0000, 0.5000], [0.0000, 0.0000, 0.0000], [0.5000, 0.5000, 0.5000]],
  "vol_a3_per_cell": 138.5,
  "dft_energy_ev_per_cell": -24.04,
  "spacegroup": "Pm-3m, No. 221"
}

=====

(5)
{
  "formula": "Ba3In2Ga3",
  "functional": "PBE-GGA",
  "state": "optimized geometry",
  "lattice_angstrom": [[4.7471, 0.0000, 0.0000], [-2.3735, 6.4763, 0.0000], [0.0000, 0.0000, 17.7342]],
  "species": ["Ba", "Ba", "Ba", "Ba", "Ba", "Ba", "In", "In", "In", "In", "Ga", "Ga", "Ga", "Ga", "Ga", "Ga"],
  "frac_coords": [[0.4689, 0.9378, 0.7500], [0.8413, 0.6827, 0.4066], [0.1587, 0.3173, 0.9066], [0.8413, 0.6827, 0.0934], [0.1587, 0.3173, 0.5934], [0.5311, 0.0622, 0.2500], [0.1274, 0.2548, 0.1175], [0.1274, 0.2548, 0.3825], [0.8726, 0.7452, 0.6175], [0.8726, 0.7452, 0.8825], [0.2533, 0.5065, 0.2500], [0.4290, 0.8580, 0.5489], [0.7467, 0.4935, 0.7500], [0.4290, 0.8580, 0.9511], [0.5710, 0.1420, 0.4511], [0.5710, 0.1420, 0.0489]],
  "vol_a3_per_cell": 545.2,
  "dft_energy_ev_per_cell": -46.91,
  "spacegroup": "Cmcm, No. 63"
}

=====

(6)
{
  "formula": "Ce2Si4IrPd3",
  "functional": "PBE-GGA",
  "state": "optimized geometry",
  "lattice_angstrom": [[-2.0977, -2.0343, -3.0044], [3.5056, -2.0312, -1.0724], [-2.2305, -7.2709, 6.4805]],
  "species": ["Ce", "Ce", "Si", "Si", "Si", "Si", "Ir", "Pd", "Pd", "Pd"],
  "frac_coords": [[0.0000, 0.5000, 0.7520], [0.5000, 0.0000, 0.2480], [0.0000, 0.5000, 0.3686], [0.0000, 0.0000, 0.0000], [0.5000, 0.5000, 0.0000], [0.5000, 0.0000, 0.6314], [0.5000, 0.5000, 0.5000], [0.0000, 0.0000, 0.5000], [0.5000, 0.0000, 0.8751], [0.0000, 0.5000, 0.1249]],
  "vol_a3_per_cell": 175.5,
  "formation_energy_uncorrected_ev_per_atom": -0.893,
  "spacegroup": "P-4m2, No. 115"
}

=====

Repeat the sixth record exactly.
{
  "formula": "Ce2Si4IrPd3",
  "functional": "PBE-GGA",
  "state": "optimized geometry",
  "lattice_angstrom": [[-2.0977, -2.0343, -3.0044], [3.5056, -2.0312, -1.0724], [-2.2305, -7.2709, 6.4805]],
  "species": ["Ce", "Ce", "Si", "Si", "Si", "Si", "Ir", "Pd", "Pd", "Pd"],
  "frac_coords": [[0.0000, 0.5000, 0.7520], [0.5000, 0.0000, 0.2480], [0.0000, 0.5000, 0.3686], [0.0000, 0.0000, 0.0000], [0.5000, 0.5000, 0.0000], [0.5000, 0.0000, 0.6314], [0.5000, 0.5000, 0.5000], [0.0000, 0.0000, 0.5000], [0.5000, 0.0000, 0.8751], [0.0000, 0.5000, 0.1249]],
  "vol_a3_per_cell": 175.5,
  "formation_energy_uncorrected_ev_per_atom": -0.893,
  "spacegroup": "P-4m2, No. 115"
}

=====

Copy entry 2 word for word.
{
  "formula": "PrGe2Pd2Pt",
  "functional": "PBE-GGA",
  "state": "optimized geometry",
  "lattice_angstrom": [[4.0357, 0.0000, 0.0000], [0.0000, 4.0357, 0.0000], [-2.0178, -2.0178, 9.3507]],
  "species": ["Pd", "Pd", "Pr", "Pt", "Ge", "Ge"],
  "frac_coords": [[0.7500, 0.2500, 0.5000], [0.2500, 0.7500, 0.5000], [0.5000, 0.5000, 0.0000], [0.0000, 0.0000, 0.0000], [0.3302, 0.3302, 0.6604], [0.6698, 0.6698, 0.3396]],
  "vol_a3_per_cell": 152.3,
  "dft_energy_ev_per_cell": -31.90,
  "spacegroup": "I4/mmm, No. 139"
}

=====

- What is the formula in the second record?
  PrGe2Pd2Pt